1.
The following is a PBE calculation of KRb2F4 after structural relaxation, from Alexandria.

Results
- total DFT energy (no corrections) (eV per atom) = -3.771
- E_form (uncorrected) (eV per formula unit) = -15.88
- excess energy over the best structure of this formula in the dataset (meV per atom) = 0
- Fermi-level density of states (states/eV per atom) = 2.78
- M_tot (μB per formula unit) = 1.0

a = 8.144 Å, b = 8.099 Å, c = 8.099 Å
α = 89.29°, β = 59.80°, γ = 59.81°
Each line ends with the local moment (μB).
Fractional positions:
K 0.500 0.750 0.250  0.00
K 0.000 0.000 0.000  0.00
Rb 0.250 0.375 0.625  0.01
Rb 0.750 0.375 0.625  0.01
Rb 0.250 0.375 0.125  0.01
Rb 0.750 0.875 0.625  0.01
F 0.735 0.129 0.871  0.22
F 0.765 0.620 0.380  0.22
F 0.265 0.129 0.871  0.22
F 0.735 0.136 0.395  0.22
F 0.265 0.605 0.864  0.22
F 0.235 0.620 0.380  0.22
F 0.765 0.615 0.855  0.22
F 0.235 0.145 0.385  0.22

***

2.
The following is a PBE calculation of KRb6F8 after structural relaxation, from Alexandria.

Results
- total DFT energy (no corrections) (eV per atom) = -3.861
- E_form (uncorrected) (eV per formula unit) = -36.03
- Fermi-level density of states (states/eV per atom) = 2.13
- M_tot (μB per formula unit) = 1.3

a = 4.228 Å, b = 10.121 Å, c = 10.121 Å
α = 120.00°, β = 90.00°, γ = 90.00°
Each line ends with the local moment (μB).
Fractional positions:
K 0.500 0.000 0.000  0.00
Rb 0.770 0.686 0.131  0.00
Rb 0.770 0.869 0.556  0.00
Rb 0.770 0.444 0.314  0.00
Rb 0.230 0.314 0.869  0.00
Rb 0.230 0.131 0.444  0.00
Rb 0.230 0.556 0.686  0.00
F 0.728 0.984 0.271  0.14
F 0.728 0.729 0.713  0.14
F 0.728 0.287 0.016  0.14
F 0.272 0.016 0.729  0.14
F 0.272 0.271 0.287  0.14
F 0.272 0.713 0.984  0.14
F 0.738 0.333 0.667  0.13
F 0.262 0.667 0.333  0.13

***

3.
The following is a PBE calculation of K6RbF8 after structural relaxation, from Alexandria.

Results
- total DFT energy (no corrections) (eV per atom) = -3.963
- E_form (uncorrected) (eV per formula unit) = -36.92
- Fermi-level density of states (states/eV per atom) = 2.08
- M_tot (μB per formula unit) = 1.3

a = 4.022 Å, b = 9.699 Å, c = 9.699 Å
α = 120.00°, β = 90.00°, γ = 90.00°
Each line ends with the local moment (μB).
Fractional positions:
K 0.762 0.670 0.129  0.00
K 0.762 0.871 0.541  0.00
K 0.762 0.459 0.330  0.00
K 0.238 0.330 0.871  0.00
K 0.238 0.129 0.459  0.00
K 0.238 0.541 0.670  0.00
Rb 0.500 0.000 0.000  0.00
F 0.736 0.969 0.294  0.14
F 0.736 0.706 0.675  0.14
F 0.736 0.325 0.031  0.14
F 0.264 0.031 0.706  0.14
F 0.264 0.294 0.325  0.14
F 0.264 0.675 0.969  0.14
F 0.742 0.333 0.667  0.14
F 0.258 0.667 0.333  0.14

***

4.
The following is a PBE calculation of K3RbF4 after structural relaxation, from Alexandria.

Results
- total DFT energy (no corrections) (eV per atom) = -4.177
- E_form (uncorrected) (eV per formula unit) = -21.67
- Fermi-level density of states (states/eV per atom) = 0.00
- M_tot (μB per formula unit) = 0.3

a = 3.887 Å, b = 6.722 Å, c = 6.722 Å
α = 109.35°, β = 90.00°, γ = 90.00°
Each line ends with the local moment (μB).
Fractional positions:
K 0.000 0.000 0.500  0.00
K 0.500 0.500 0.500  0.00
K 0.000 0.500 0.000  0.00
Rb 0.500 0.000 0.000  0.01
F 0.000 0.259 0.259  0.07
F 0.500 0.746 0.254  0.07
F 0.000 0.741 0.741  0.07
F 0.500 0.254 0.746  0.07

***

5.
The following is a PBE calculation of KRb2F2 after structural relaxation, from Alexandria.

Results
- total DFT energy (no corrections) (eV per atom) = -3.235
- E_form (uncorrected) (eV per formula unit) = -9.40
- excess energy over the best structure of this formula in the dataset (meV per atom) = 192
- Fermi-level density of states (states/eV per atom) = 0.27
- M_tot (μB per formula unit) = 0.2

a = 8.235 Å, b = 8.235 Å, c = 4.684 Å
α = 90.00°, β = 90.00°, γ = 90.00°
Fractional positions:
K 0.000 0.000 0.000
K 0.500 0.500 0.000
Rb 0.165 0.665 0.500
Rb 0.665 0.835 0.500
Rb 0.835 0.335 0.500
Rb 0.335 0.165 0.500
F 0.282 0.782 0.000
F 0.782 0.718 0.000
F 0.718 0.218 0.000
F 0.218 0.282 0.000

***

6.
The following is a PBE calculation of K3Rb12F5 after structural relaxation, from Alexandria.

Results
- total DFT energy (no corrections) (eV per atom) = -2.401
- E_form (uncorrected) (eV per formula unit) = -23.75
- Fermi-level density of states (states/eV per atom) = 0.46
- M_tot (μB per formula unit) = 0.0

a = 17.710 Å, b = 17.710 Å, c = 17.710 Å
α = 109.47°, β = 109.47°, γ = 109.47°
Fractional positions:
K 0.750 0.375 0.125
K 0.875 0.750 0.125
K 0.375 0.750 0.625
K 0.250 0.125 0.375
K 0.875 0.125 0.250
K 0.375 0.625 0.250
K 0.625 0.375 0.750
K 0.125 0.875 0.750
K 0.750 0.875 0.625
K 0.625 0.250 0.375
K 0.125 0.250 0.875
K 0.250 0.625 0.875
F 0.125 0.375 0.250
F 0.000 0.500 0.000
F 0.000 0.000 0.000
F 0.375 0.250 0.125
F 0.500 0.000 0.500
F 0.500 0.500 0.000
F 0.125 0.750 0.375
F 0.750 0.125 0.875
F 0.750 0.625 0.375
F 0.375 0.125 0.750
F 0.625 0.875 0.250
F 0.500 0.500 0.500
F 0.500 0.000 0.000
F 0.000 0.000 0.500
F 0.250 0.375 0.625
F 0.250 0.875 0.125
F 0.000 0.500 0.500
F 0.875 0.250 0.625
F 0.625 0.750 0.875
F 0.875 0.625 0.750
Rb 0.675 0.095 0.982
Rb 0.307 0.482 0.387
Rb 0.018 0.405 0.325
Rb 0.482 0.175 0.095
Rb 0.580 0.675 0.693
Rb 0.018 0.613 0.193
Rb 0.307 0.825 0.420
Rb 0.113 0.920 0.095
Rb 0.613 0.018 0.693
Rb 0.675 0.580 0.193
Rb 0.825 0.518 0.405
Rb 0.807 0.887 0.982
Rb 0.095 0.675 0.482
Rb 0.405 0.387 0.080
Rb 0.080 0.887 0.405
Rb 0.420 0.095 0.613
Rb 0.080 0.193 0.175
Rb 0.518 0.693 0.113
Rb 0.807 0.920 0.325
Rb 0.095 0.420 0.113
Rb 0.405 0.018 0.825
Rb 0.613 0.595 0.420
Rb 0.887 0.807 0.482
Rb 0.825 0.307 0.920
Rb 0.387 0.405 0.580
Rb 0.113 0.193 0.518
Rb 0.175 0.693 0.080
Rb 0.193 0.080 0.675
Rb 0.595 0.982 0.175
Rb 0.905 0.580 0.887
Rb 0.482 0.307 0.887
Rb 0.580 0.905 0.387
Rb 0.920 0.807 0.825
Rb 0.920 0.113 0.595
Rb 0.905 0.325 0.518
Rb 0.193 0.113 0.018
Rb 0.595 0.613 0.920
Rb 0.387 0.982 0.307
Rb 0.325 0.420 0.807
Rb 0.175 0.482 0.595
Rb 0.887 0.080 0.905
Rb 0.693 0.175 0.580
Rb 0.518 0.825 0.905
Rb 0.982 0.387 0.807
Rb 0.420 0.325 0.307
Rb 0.982 0.595 0.675
Rb 0.693 0.518 0.613
Rb 0.325 0.905 0.018

***

7.
The following is a PBE calculation of KRb4F6 after structural relaxation, from Alexandria.

Results
- total DFT energy (no corrections) (eV per atom) = -3.896
- E_form (uncorrected) (eV per formula unit) = -26.66
- Fermi-level density of states (states/eV per atom) = 1.26
- M_tot (μB per formula unit) = 1.1

a = 7.921 Å, b = 7.921 Å, c = 7.921 Å
α = 91.12°, β = 91.12°, γ = 88.88°
Each line ends with the local moment (μB).
Fractional positions:
K 0.500 0.500 0.500  0.00
K 0.000 0.000 0.000  0.00
Rb 0.380 0.120 0.250  0.00
Rb 0.880 0.250 0.380  0.00
Rb 0.250 0.620 0.120  0.00
Rb 0.250 0.250 0.750  0.01
Rb 0.750 0.750 0.250  0.01
Rb 0.750 0.380 0.880  0.00
Rb 0.120 0.750 0.620  0.00
Rb 0.620 0.880 0.750  0.00
F 0.696 0.067 0.098  0.16
F 0.098 0.304 0.067  0.16
F 0.598 0.433 0.196  0.16
F 0.933 0.098 0.696  0.16
F 0.567 0.196 0.598  0.16
F 0.196 0.402 0.433  0.16
F 0.804 0.598 0.567  0.16
F 0.433 0.804 0.402  0.16
F 0.067 0.902 0.304  0.16
F 0.402 0.567 0.804  0.16
F 0.902 0.696 0.933  0.16
F 0.304 0.933 0.902  0.16

***

8.
The following is a PBE calculation of K3RbF after structural relaxation, from Alexandria.

Results
- total DFT energy (no corrections) (eV per atom) = -2.121
- E_form (uncorrected) (eV per formula unit) = -4.47
- excess energy over the best structure of this formula in the dataset (meV per atom) = 0
- Fermi-level density of states (states/eV per atom) = 0.71
- M_tot (μB per formula unit) = 0.0

a = 6.231 Å, b = 6.231 Å, c = 6.231 Å
α = 90.00°, β = 90.00°, γ = 90.00°
Fractional positions:
K 0.000 0.500 0.000
K 0.000 0.000 0.500
K 0.500 0.000 0.000
Rb 0.500 0.500 0.500
F 0.000 0.000 0.000

***

9.
The following is a PBE calculation of K2RbRhF8 after structural relaxation, from Alexandria.

Results
- total DFT energy (no corrections) (eV per atom) = -4.250
- E_form (uncorrected) (eV per formula unit) = -25.52
- Fermi-level density of states (states/eV per atom) = 0.86
- M_tot (μB per formula unit) = 2.0

a = 5.007 Å, b = 5.550 Å, c = 8.427 Å
α = 89.91°, β = 90.00°, γ = 95.98°
Each line ends with the local moment (μB).
Fractional positions:
K 0.499 0.499 0.760  0.00
K 0.501 0.501 0.240  0.00
Rb 0.000 0.000 0.500  0.00
Rh 0.000 0.000 0.000  0.92
F 0.104 0.788 0.167  0.07
F 0.657 0.809 0.999  0.09
F 0.894 0.210 0.167  0.07
F 0.896 0.212 0.833  0.07
F 0.343 0.191 0.001  0.09
F 0.106 0.790 0.833  0.07
F 0.486 0.744 0.500  0.25
F 0.514 0.256 0.500  0.25

***

10.
The following is a PBE calculation of KRbRhF6 after structural relaxation, from Alexandria.

Results
- total DFT energy (no corrections) (eV per atom) = -4.504
- E_form (uncorrected) (eV per formula unit) = -19.89
- Fermi-level density of states (states/eV per atom) = 1.10
- M_tot (μB per formula unit) = 1.0

a = 5.946 Å, b = 5.947 Å, c = 4.857 Å
α = 89.98°, β = 90.00°, γ = 60.00°
Each line ends with the local moment (μB).
Fractional positions:
K 0.667 0.667 0.724  0.00
Rb 0.000 0.000 0.153  0.00
Rh 0.333 0.333 0.445  0.67
F 0.015 0.492 0.224  0.05
F 0.176 0.175 0.669  0.05
F 0.649 0.176 0.669  0.05
F 0.175 0.649 0.668  0.05
F 0.492 0.493 0.224  0.05
F 0.493 0.015 0.225  0.05

***

11.
The following is a PBE calculation of K2RbRh3F12 after structural relaxation, from Alexandria.

Results
- total DFT energy (no corrections) (eV per atom) = -4.642
- E_form (uncorrected) (eV per formula unit) = -35.88
- M_tot (μB per formula unit) = 0.0

a = 7.625 Å, b = 7.625 Å, c = 7.625 Å
α = 58.64°, β = 58.64°, γ = 58.64°
Fractional positions:
K 0.630 0.630 0.630
K 0.370 0.370 0.370
Rb 0.000 0.000 0.000
Rh 0.500 0.000 0.000
Rh 0.000 0.500 0.000
Rh 0.000 0.000 0.500
F 0.280 0.280 0.874
F 0.868 0.868 0.453
F 0.453 0.868 0.868
F 0.874 0.280 0.280
F 0.868 0.453 0.868
F 0.280 0.874 0.280
F 0.720 0.720 0.126
F 0.132 0.132 0.547
F 0.547 0.132 0.132
F 0.126 0.720 0.720
F 0.132 0.547 0.132
F 0.720 0.126 0.720

***

12.
The following is a PBE calculation of KRb2RuF6 after structural relaxation, from Alexandria.

Results
- total DFT energy (no corrections) (eV per atom) = -4.713
- E_form (uncorrected) (eV per formula unit) = -23.59
- Fermi-level density of states (states/eV per atom) = 0.47
- M_tot (μB per formula unit) = 1.0

a = 6.433 Å, b = 6.433 Å, c = 6.433 Å
α = 60.00°, β = 60.00°, γ = 60.00°
Each line ends with the local moment (μB).
Fractional positions:
Ru 0.000 0.000 0.000  0.83
K 0.500 0.500 0.500  0.00
Rb 0.750 0.750 0.750  0.00
Rb 0.250 0.250 0.250  0.00
F 0.777 0.777 0.223  0.03
F 0.223 0.777 0.223  0.01
F 0.777 0.223 0.777  0.01
F 0.223 0.223 0.777  0.03
F 0.223 0.777 0.777  0.02
F 0.777 0.223 0.223  0.02

***

13.
The following is a PBE calculation of KRb2SF6 after structural relaxation, from Alexandria.

Results
- total DFT energy (no corrections) (eV per atom) = -3.977
- E_form (uncorrected) (eV per formula unit) = -21.39
- Fermi-level density of states (states/eV per atom) = 0.00
- M_tot (μB per formula unit) = 1.0

a = 6.175 Å, b = 6.175 Å, c = 6.793 Å
α = 62.97°, β = 62.97°, γ = 90.00°
Each line ends with the local moment (μB).
Fractional positions:
K 0.000 0.000 0.000  0.00
S 0.500 0.500 0.000  0.47
Rb 0.750 0.250 0.500  0.00
Rb 0.250 0.750 0.500  0.00
F 0.244 0.244 0.512  0.09
F 0.756 0.756 0.488  0.09
F 0.289 0.289 0.000  0.03
F 0.711 0.711 0.000  0.03
F 0.711 0.289 0.000  0.03
F 0.289 0.711 0.000  0.03

***

14.
The following is a PBE calculation of KRb2SF after structural relaxation, from Alexandria.

Results
- total DFT energy (no corrections) (eV per atom) = -3.415
- E_form (uncorrected) (eV per formula unit) = -8.05
- Fermi-level density of states (states/eV per atom) = 0.00
- M_tot (μB per formula unit) = 0.0

a = 5.366 Å, b = 5.366 Å, c = 5.144 Å
α = 90.00°, β = 90.00°, γ = 90.00°
Fractional positions:
K 0.000 0.000 0.500
S 0.500 0.500 0.500
Rb 0.000 0.500 0.000
Rb 0.500 0.000 0.000
F 0.000 0.000 0.000

***

15.
The following is a PBE calculation of K2RbSF after structural relaxation, from Alexandria.

Results
- total DFT energy (no corrections) (eV per atom) = -3.465
- E_form (uncorrected) (eV per formula unit) = -8.16
- Fermi-level density of states (states/eV per atom) = 0.00
- M_tot (μB per formula unit) = 0.0

a = 5.131 Å, b = 5.131 Å, c = 5.325 Å
α = 90.00°, β = 90.00°, γ = 90.00°
Fractional positions:
K 0.000 0.500 0.000
K 0.500 0.000 0.000
S 0.500 0.500 0.500
Rb 0.000 0.000 0.500
F 0.000 0.000 0.000

***

16.
The following is a PBE calculation of KRb2SbF after structural relaxation, from Alexandria.

Results
- total DFT energy (no corrections) (eV per atom) = -3.041
- E_form (uncorrected) (eV per formula unit) = -6.18
- Fermi-level density of states (states/eV per atom) = 0.69
- M_tot (μB per formula unit) = 1.0

a = 5.676 Å, b = 5.676 Å, c = 5.428 Å
α = 90.00°, β = 90.00°, γ = 90.00°
Each line ends with the local moment (μB).
Fractional positions:
Sb 0.500 0.500 0.500  0.32
K 0.000 0.000 0.500  0.00
Rb 0.000 0.500 0.000  0.01
Rb 0.500 0.000 0.000  0.01
F 0.000 0.000 0.000  0.00

***

17.
The following is a PBE calculation of KRb2Sc3F12 after structural relaxation, from Alexandria.

Results
- total DFT energy (no corrections) (eV per atom) = -6.080
- E_form (uncorrected) (eV per formula unit) = -64.96
- Fermi-level density of states (states/eV per atom) = 0.00
- M_tot (μB per formula unit) = 0.4

a = 7.706 Å, b = 7.706 Å, c = 7.706 Å
α = 61.65°, β = 61.65°, γ = 61.65°
Each line ends with the local moment (μB).
Fractional positions:
K 0.000 0.000 0.000  0.00
Rb 0.629 0.629 0.629  0.00
Rb 0.371 0.371 0.371  0.00
Sc 0.500 0.000 0.000  0.00
Sc 0.000 0.500 0.000  0.00
Sc 0.000 0.000 0.500  0.00
F 0.280 0.280 0.906  0.01
F 0.879 0.879 0.426  0.05
F 0.426 0.879 0.879  0.05
F 0.906 0.280 0.280  0.01
F 0.879 0.426 0.879  0.05
F 0.280 0.906 0.280  0.01
F 0.720 0.720 0.094  0.01
F 0.121 0.121 0.574  0.05
F 0.574 0.121 0.121  0.05
F 0.094 0.720 0.720  0.01
F 0.121 0.574 0.121  0.05
F 0.720 0.094 0.720  0.01

***

18.
The following is a PBE calculation of K2RbScF6 after structural relaxation, from Alexandria.

Results
- total DFT energy (no corrections) (eV per atom) = -5.316
- E_form (uncorrected) (eV per formula unit) = -32.44
- Fermi-level density of states (states/eV per atom) = 0.00
- M_tot (μB per formula unit) = 0.0

a = 6.595 Å, b = 6.595 Å, c = 6.595 Å
α = 60.00°, β = 60.00°, γ = 60.00°
Fractional positions:
Sc 0.000 0.000 0.000
K 0.750 0.750 0.750
K 0.250 0.250 0.250
Rb 0.500 0.500 0.500
F 0.218 0.782 0.782
F 0.782 0.218 0.782
F 0.218 0.782 0.218
F 0.782 0.782 0.218
F 0.782 0.218 0.218
F 0.218 0.218 0.782